Computed, not measured: a relaxed structure of CoTcAg2O at the GGA+U level of DFT.

## Properties
N(E_F) in states/eV/f.u.: 3.668
Crystal system: tetragonal
VASP energy in eV for the cell shown: -23.62
Space group: P4/mmm (123)

a = 4.6467 Å, b = 3.7785 Å, c = 4.6467 Å
α = 90.00°, β = 90.00°, γ = 90.00°
With the nearest neighbours (Å) after each atom.
Positions (direct):
Ag 0.5000 0.0000 0.0000  2 O 2.32
Ag 0.0000 0.0000 0.5000  2 O 2.32
Tc 0.0000 0.5000 0.0000  2 O 1.89
Co 0.5000 0.5000 0.5000  8 Ag 2.99, 4 Tc 3.29
O 0.0000 0.0000 0.0000  2 Tc 1.89